5
Lattice="3.9600 0.0000 0.0000 0.0000 3.9600 0.0000 0.0000 0.0000 5.3834" Properties=species:S:1:pos:R:3 comment="KRuSeN2 | the Alexandria database | PBE | optimized geometry" density_g_cm3=4.861 e_above_lowest_polymorph_ev_per_fu=0.00 spacegroup="P4/mmm, No. 123" pbc="T T T"
Ru 0.0000 0.0000 0.0000
Se 0.0000 0.0000 2.6917
N 0.0000 1.9800 0.0000
N 1.9800 0.0000 0.0000
K 1.9800 1.9800 2.6917

***

5
Lattice="-3.7053 3.5601 -1.4329 -2.0207 -3.5032 -3.4787 -2.2627 -1.2994 2.6229" Properties=species:S:1:pos:R:3 comment="KRuSe2N | the Alexandria database | PBE | optimized geometry" density_g_cm3=4.922 e_above_lowest_polymorph_ev_per_fu=0.00 spacegroup="P4/mmm, No. 123" pbc="T T T"
Se -1.0103 -1.7516 -1.7393
Se -1.8527 1.7800 -0.7164
Ru 0.0000 0.0000 0.0000
N -1.1314 -0.6497 1.3115
K -3.9944 -0.6213 -1.1443

***

5
Lattice="-3.8221 -2.7609 -1.1311 1.1413 -2.5312 2.3218 -2.5621 2.0952 3.5435" Properties=species:S:1:pos:R:3 comment="KSiRu2N | the Alexandria database | PBE | optimized geometry" e_tot_ev_per_cell=-26.99 density_g_cm3=5.529 spacegroup="P4/mmm, No. 123" pbc="T T T"
N 0.5706 -1.2656 1.1609
K -2.6215 -1.5985 2.3671
Si 0.0000 0.0000 0.0000
Ru -1.2811 1.0476 1.7717
Ru -1.9110 -1.3804 -0.5656

***

5
Lattice="-1.5249 1.8955 -3.4073 -0.1882 -4.4156 -2.3722 -3.8959 -0.5933 1.4135" Properties=species:S:1:pos:R:3 comment="KTaRuN2 | the Alexandria database | PBE | optimized geometry" e_tot_ev_per_cell=-34.47 density_g_cm3=6.594 spacegroup="P4/mmm, No. 123" pbc="T T T"
Ru -0.0941 -2.2078 -1.1861
Ta 0.0000 0.0000 0.0000
K -2.8045 -1.5567 -2.1830
N -0.7624 0.9478 -1.7037
N -1.9480 -0.2966 0.7067

***

5
Lattice="4.6372 0.0000 0.0000 0.0000 4.6372 0.0000 0.0000 0.0000 6.9063" Properties=species:S:1:pos:R:3 comment="KTeRuN2 | the Alexandria database | PBE | optimized geometry" density_g_cm3=3.307 e_above_lowest_polymorph_ev_per_fu=9.14 spacegroup="P4/mmm, No. 123" pbc="T T T"
Te 0.0000 0.0000 3.4531
N 2.3186 0.0000 0.0000
N 0.0000 2.3186 0.0000
K 0.0000 0.0000 0.0000
Ru 2.3186 2.3186 3.4531

***

5
Lattice="4.0575 0.0000 0.0000 0.0000 4.0575 0.0000 0.0000 0.0000 5.6539" Properties=species:S:1:pos:R:3 comment="KTeRuN2 | the Alexandria database | PBE | optimized geometry" density_g_cm3=5.277 e_above_lowest_polymorph_ev_per_fu=0.00 spacegroup="P4/mmm, No. 123" pbc="T T T"
N 2.0287 0.0000 0.0000
N 0.0000 2.0287 0.0000
Ru 0.0000 0.0000 0.0000
K 2.0287 2.0287 2.8270
Te 0.0000 0.0000 2.8270

***

5
Lattice="-1.9573 -5.0654 -2.6062 5.6183 -1.2614 -1.7679 0.7342 -2.3450 4.0065" Properties=species:S:1:pos:R:3 comment="KTe2RuN | the Alexandria database | PBE | optimized geometry" density_g_cm3=3.986 e_above_lowest_polymorph_ev_per_fu=10.80 spacegroup="P4/mmm, No. 123" pbc="T T T"
Te 2.8092 -0.6307 -0.8839
Te -0.9787 -2.5327 -1.3031
K 0.0000 0.0000 0.0000
N 0.3671 -1.1725 2.0032
Ru 2.1976 -4.3359 -0.1838

***

5
Lattice="5.7919 0.0000 0.0000 0.0000 5.7919 0.0000 0.0000 0.0000 3.6683" Properties=species:S:1:pos:R:3 comment="KTe2RuN | the Alexandria database | PBE | optimized geometry" density_g_cm3=5.524 e_above_lowest_polymorph_ev_per_fu=0.00 spacegroup="P4/mmm, No. 123" pbc="T T T"
N 0.0000 0.0000 1.8341
Ru 0.0000 0.0000 0.0000
K 2.8959 2.8959 1.8341
Te 0.0000 2.8959 0.0000
Te 2.8959 0.0000 0.0000